## MgZrNiHg (PBE)

Data for MgZrNiHg after structural relaxation.

Cell lengths 4.6026, 4.6026, 4.6026 Å; angles 60.00, 60.00, 60.00 degrees
Sites, in units of the cell vectors:
Hg: 0.5000 0.5000 0.5000
Mg: 0.7500 0.7500 0.7500
Ni: 0.2500 0.2500 0.2500
Zr: 0.0000 0.0000 0.0000

Calculated values
M_tot: 0.00 μB/f.u.
Polymorph energy (0 for the lowest one): 68 meV/atom
Density: 9.028 Mg/m³

***

## MgZrNiHg (PBE)

Data for MgZrNiHg after structural relaxation.

Cell lengths 4.7065, 4.7065, 4.7065 Å; angles 60.00, 60.00, 60.00 degrees
Sites, in units of the cell vectors:
Hg: 0.0000 0.0000 0.0000
Mg: 0.7500 0.7500 0.7500
Ni: 0.5000 0.5000 0.5000
Zr: 0.2500 0.2500 0.2500

Calculated values
M_tot: 0.00 μB/f.u.
Polymorph energy (0 for the lowest one): 0 meV/atom
Density: 8.443 Mg/m³